#a
Here is a geometry-optimized HBrCl2 structure from Alexandria. Energies are from PBE-GGA.

## Properties
density of states at the Fermi level	0.19	states/eV per cell
SG	No. 122

Cell: 6.006 6.006 6.241 Å, 61.24 61.24 90.00°
Last column: magnetic moment on the atom in μB.
Fractional positions:
1 Cl 0.875 0.731 0.750  0.38
2 Br 0.750 0.250 0.500  0.85
3 H 0.500 0.500 0.000  -0.01
4 H 0.250 0.750 0.500  -0.01
5 Cl 0.375 0.519 0.750  0.36
6 Br 0.000 0.000 0.000  0.86
7 Cl 0.269 0.625 0.250  0.38
8 Cl 0.481 0.125 0.250  0.36

#b
Here is a geometry-optimized HBrCl2 structure from Alexandria. Energies are from PBE-GGA.

## Properties
density of states at the Fermi level	0.00	states/eV per cell
SG	No. 8

Cell: 5.333 7.579 7.579 Å, 63.97 42.33 42.33°
Fractional positions:
1 Br 0.617 0.487 0.487
2 Cl 0.957 0.205 0.205
3 Cl 0.205 0.832 0.832
4 H 0.721 0.976 0.976

Which is more stable than every other structure shown? #b is more stable than every other one.